# Sm2ErTm7, optimized geometry, DFT PBE
data_Sm2ErTm7
_chemical_formula_sum 'Sm4 Er2 Tm14'
_cell_length_a 6.396
_cell_length_b 28.463
_cell_length_c 3.484
_cell_angle_alpha 90.00
_cell_angle_beta 90.00
_cell_angle_gamma 90.00
_symmetry_space_group_name_H-M 'C m m m'
_symmetry_Int_Tables_number 65
_symmetry_space_group_name_Hall '-C 2 2'
loop_
_atom_site_label
_atom_site_fract_x
_atom_site_fract_y
_atom_site_fract_z
Sm1 0.000 0.209 0.000
Er1 0.000 0.500 0.500
Tm1 0.000 0.000 0.000
Tm2 0.000 0.316 0.500
Tm3 0.246 0.402 0.000
# - formation enthalpy at 0 K (eV per atom) = 0.16
# - energy above the lowest structure with this stoichiometry (meV per atom) = 134
# - DOS at the Fermi energy (states/eV/f.u.) = 14.1
# - VASP energy (eV/atom) = -4.3703

---

# SiSnW, optimized geometry, DFT PBE
data_SiSnW
_chemical_formula_sum 'Si2 Sn2 W2'
_cell_length_a 3.153
_cell_length_b 4.157
_cell_length_c 9.387
_cell_angle_alpha 90.00
_cell_angle_beta 99.74
_cell_angle_gamma 90.00
_symmetry_space_group_name_H-M 'P 1 m 1'
_symmetry_Int_Tables_number 6
_symmetry_space_group_name_Hall 'P -2y'
loop_
_atom_site_label
_atom_site_fract_x
_atom_site_fract_y
_atom_site_fract_z
Si1 0.000 0.000 0.000
Si2 0.118 0.500 0.235
Sn1 0.357 0.500 0.709
Sn2 0.758 0.000 0.525
W1 0.507 0.500 0.013
W2 0.611 0.000 0.221
# - raw formation energy (eV per atom) = 0.202
# - energy above the lowest structure with this stoichiometry (meV per atom) = 136
# - DOS at the Fermi energy (states/eV/f.u.) = 1.9
# - VASP energy (eV/atom) = -7.2578

---

# RbUPtS4, optimized geometry, DFT PBE
data_RbUPtS4
_chemical_formula_sum 'Rb2 U2 Pt2 S8'
_cell_length_a 6.430
_cell_length_b 6.151
_cell_length_c 9.154
_cell_angle_alpha 90.00
_cell_angle_beta 107.10
_cell_angle_gamma 90.00
_symmetry_space_group_name_H-M 'P 1 21/m 1'
_symmetry_Int_Tables_number 11
_symmetry_space_group_name_Hall '-P 2yb'
loop_
_atom_site_label
_atom_site_fract_x
_atom_site_fract_y
_atom_site_fract_z
Rb1 0.239 0.250 0.038
U1 0.243 0.250 0.547
Pt1 0.231 0.750 0.376
S1 0.034 0.519 0.694
S2 0.454 0.750 0.201
S3 0.485 0.750 0.612
# - raw formation energy (eV per atom) = -0.939
# - DOS at the Fermi energy (states/eV/f.u.) = 3.6
# - VASP energy (eV/atom) = -5.9115

---

# Y14ErMg, optimized geometry, DFT PBE
data_Y14ErMg
_chemical_formula_sum 'Y28 Er2 Mg2'
_cell_length_a 11.318
_cell_length_b 7.238
_cell_length_c 12.518
_cell_angle_alpha 90.00
_cell_angle_beta 90.00
_cell_angle_gamma 90.00
_symmetry_space_group_name_H-M 'A m m 2'
_symmetry_Int_Tables_number 38
_symmetry_space_group_name_Hall 'A 2 -2'
loop_
_atom_site_label
_atom_site_fract_x
_atom_site_fract_y
_atom_site_fract_z
Y1 0.000 0.000 0.000
Y2 0.000 0.000 0.499
Y3 0.000 0.248 0.248
Y4 0.248 0.000 0.832
Y5 0.253 0.000 0.332
Y6 0.255 0.250 0.082
Y7 0.500 0.244 0.752
Er1 0.500 0.000 0.995
Mg1 0.500 0.000 0.499
# - formation enthalpy at 0 K (eV per atom) = 0.00
# - DOS at the Fermi energy (states/eV/f.u.) = 26.5
# - VASP energy (eV/atom) = -6.0397

---

# Zr2ScFe, optimized geometry, DFT PBE
data_Zr2ScFe
_chemical_formula_sum 'Zr6 Sc3 Fe3'
_cell_length_a 3.1977
_cell_length_b 3.1977
_cell_length_c 27.4725
_cell_angle_alpha 90.00
_cell_angle_beta 90.00
_cell_angle_gamma 120.00
_symmetry_space_group_name_H-M 'R 3 m'
_symmetry_Int_Tables_number 160
_symmetry_space_group_name_Hall 'R 3 -2"'
loop_
_atom_site_label
_atom_site_fract_x
_atom_site_fract_y
_atom_site_fract_z
Zr1 0.0000 0.0000 0.0000
Zr2 0.0000 0.0000 0.2381
Sc1 0.0000 0.0000 0.4700
Fe1 0.0000 0.0000 0.7343
# - formation enthalpy at 0 K (eV per atom) = 0.11
# - energy above the lowest structure with this stoichiometry (meV per atom) = 207
# - DOS at the Fermi energy (states/eV/f.u.) = 3.8
# - VASP energy (eV/atom) = -7.8644

---

# ScZnBr, optimized geometry, DFT PBE
data_ScZnBr
_chemical_formula_sum 'Sc1 Zn1 Br1'
_cell_length_a 3.5247
_cell_length_b 3.5247
_cell_length_c 7.2077
_cell_angle_alpha 90.00
_cell_angle_beta 90.00
_cell_angle_gamma 120.00
_symmetry_space_group_name_H-M 'P 3 m 1'
_symmetry_Int_Tables_number 156
_symmetry_space_group_name_Hall 'P 3 -2"'
loop_
_atom_site_label
_atom_site_fract_x
_atom_site_fract_y
_atom_site_fract_z
Sc1 0.0000 0.0000 0.0000
Zn1 0.3333 0.6667 0.2661
Br1 0.6667 0.3333 0.7484
# - raw formation energy (eV per atom) = -0.584
# - energy above the lowest structure with this stoichiometry (meV per atom) = 220
# - DOS at the Fermi energy (states/eV/f.u.) = 1.4
# - VASP energy (eV/atom) = -3.6765

---

Which of these has the lowest DOS at the Fermi energy?
ScZnBr